Density functional theory data (PBE) for a geometry-optimized Sb2MoIr structure.

```
8
Lattice="6.1376 0.0000 0.0000 0.0000 6.1376 0.0000 3.0688 3.0688 5.8241" Properties=species:S:1:pos:R:3 pbc="T T T"
Ir 0.0000 0.0000 0.0000
Ir 6.1376 3.0688 2.9120
Sb 7.6719 7.7590 4.3680
Sb 4.6032 4.5161 4.3680
Sb 1.4474 4.6032 1.4560
Sb 4.6902 1.5344 1.4560
Mo 3.0688 6.1376 2.9120
Mo 3.0688 3.0688 0.0000
```

## Properties
Energy   -0.2311 Ha/atom
E_form (uncorrected)   695 meV/atom
SG   No. 122

=====

Density functional theory data (PBE) for a geometry-optimized SbMo4Ir structure.

```
6
Lattice="0.0000 3.7098 3.7098 3.7098 0.0000 3.7098 3.7098 3.7098 0.0000" Properties=species:S:1:pos:R:3 pbc="T T T"
Mo 2.7862 2.7862 2.7862
Mo 2.7862 4.6335 4.6335
Mo 4.6335 2.7862 4.6335
Mo 4.6335 4.6335 2.7862
Ir 0.0000 0.0000 0.0000
Sb 5.5647 5.5647 5.5647
```

## Properties
Energy   -0.3281 Ha/atom
E_form (uncorrected)   456 meV/atom
SG   No. 216

=====

Density functional theory data (PBE) for a geometry-optimized Sb2MoIr structure.

```
4
Lattice="4.5994 -0.0107 -0.0015 3.4789 3.0087 -0.0015 1.1777 0.4371 5.4099" Properties=species:S:1:pos:R:3 pbc="T T T"
Mo 2.3140 0.8588 1.3517
Sb 0.0090 0.0033 0.0302
Sb 4.6190 1.7142 2.6732
Ir 6.9420 2.5764 4.0552
```

## Properties
Energy   -0.2455 Ha/atom
E_form (uncorrected)   303 meV/atom
SG   No. 12

=====

Density functional theory data (PBE) for a geometry-optimized SbMoIr3 structure.

```
5
Lattice="-0.4001 -0.1075 -4.7439 -1.1949 -4.6050 0.2052 -4.5922 1.2076 0.3599" Properties=species:S:1:pos:R:3 pbc="T T T"
Ir -0.5974 -2.3025 0.1026
Ir -2.2961 0.6038 0.1800
Ir -0.2001 -0.0538 -2.3719
Mo -3.0936 -1.7525 -2.0894
Sb 0.0000 0.0000 0.0000
```

## Properties
Energy   -0.2276 Ha/atom
E_form (uncorrected)   2113 meV/atom
SG   No. 221

=====

Density functional theory data (PBE) for a geometry-optimized Sb2MoIr structure.

```
4
Lattice="-3.5024 0.2595 4.3927 -5.4027 -1.4685 -0.5328 5.0979 -2.0128 -1.2607" Properties=species:S:1:pos:R:3 pbc="T T T"
Mo -1.4285 -1.1789 2.5309
Sb -2.3786 -2.0429 0.0682
Sb 0.0000 0.0000 0.0000
Ir -4.4525 -0.6045 1.9299
```

## Properties
Energy   -0.2416 Ha/atom
E_form (uncorrected)   411 meV/atom
SG   No. 119

=====

Density functional theory data (PBE) for a geometry-optimized SbMoIr3 structure.

```
5
Lattice="-3.0297 -3.3781 1.4316 3.5538 -3.1634 0.0566 0.9116 1.1053 4.5373" Properties=species:S:1:pos:R:3 pbc="T T T"
Mo 0.0000 0.0000 0.0000
Ir 0.4558 0.5527 2.2687
Ir -1.5149 -1.6890 0.7158
Ir 1.7769 -1.5817 0.0283
Sb 0.7179 -2.7181 3.0128
```

## Properties
Energy   -0.2536 Ha/atom
E_form (uncorrected)   1407 meV/atom
SG   No. 221